VASP calculation (GGA-PBE) on a geometry-optimized SrLiSc2 structure.

Computed properties:
E_form	1.21	eV/f.u.
E above lowest polymorph	113	meV/atom
total magnetic moment	0.0	μB per cell

a b c (Å): 3.7303 5.3607 5.7284
angles (deg): 90.00 90.00 90.00
Last column: nearest neighbours and their distance in Å.
Fractional positions:
Sc 0.5000 0.5000 0.0000  4 Sc 3.27, 4 Li 3.42
Sc 0.0000 0.0000 0.0000  4 Sc 3.27, 4 Sr 3.42
Sr 0.5000 0.0000 0.5000  4 Li 3.27, 4 Sc 3.42
Li 0.0000 0.5000 0.5000  4 Sr 3.27, 4 Sc 3.42

---

VASP calculation (GGA-PBE) on a geometry-optimized SrLi2Sc structure.

Computed properties:
E_form	0.97	eV/f.u.
E above lowest polymorph	49	meV/atom
total magnetic moment	0.0	μB per cell

a b c (Å): 6.1058 6.1058 5.6756
angles (deg): 72.37 72.37 33.84
Last column: nearest neighbours and their distance in Å.
Fractional positions:
Sr 0.7324 0.7324 0.7957  7 Li 3.33-3.40, 2 Sr 3.55, 2 Sc 3.64-3.69
Li 0.2730 0.2730 0.2722  2 Li 2.95, 2 Sc 3.29
Li 0.9714 0.9714 0.9953  2 Li 2.95, 2 Sc 3.28
Sc 0.5233 0.5233 0.4369  7 Li 3.28-3.51, 2 Sc 3.55, 1 Sr 3.64

---

VASP calculation (GGA-PBE) on a geometry-optimized Sr2LiSc structure.

Computed properties:
E_form	0.84	eV/f.u.
E above lowest polymorph	0	meV/atom
total magnetic moment	0.9	μB per cell

a b c (Å): 3.9146 3.9146 9.5154
angles (deg): 90.00 90.00 90.00
Last column: nearest neighbours and their distance in Å.
Fractional positions:
Sr 0.0000 0.0000 0.9572  4 Sc 3.74, 4 Sr 3.91, 1 Li 3.93
Sr 0.5000 0.5000 0.3053  4 Li 3.58, 1 Sc 3.69, 4 Sr 3.91
Li 0.0000 0.0000 0.5447  4 Sc 3.11
Sc 0.5000 0.5000 0.6928  4 Li 3.11

---

VASP calculation (GGA-PBE) on a geometry-optimized SrLiSc structure.

Computed properties:
E_form	0.76	eV/f.u.
E above lowest polymorph	27	meV/atom
total magnetic moment	0.0	μB per cell

a b c (Å): 7.0432 3.9264 13.8831
angles (deg): 90.00 90.20 90.00
Last column: nearest neighbours and their distance in Å.
Fractional positions:
Sr 0.9867 0.5000 0.3374  4 Li 3.54-3.81, 4 Sc 3.68-3.80, 2 Sr 3.93
Sr 0.9867 0.0000 0.8374  4 Li 3.54-3.81, 4 Sc 3.68-3.80, 2 Sr 3.93
Sr 0.4660 0.5000 0.9641  4 Li 3.63-3.79, 5 Sc 3.66-3.80, 2 Sr 3.93
Sr 0.4660 0.0000 0.4641  4 Li 3.63-3.79, 5 Sc 3.66-3.80, 2 Sr 3.93
Li 0.7374 0.0000 0.1383  2 Li 2.79, 2 Sc 2.97
Li 0.9550 0.5000 0.0485  2 Li 2.79, 2 Sc 2.98
Li 0.9550 0.0000 0.5485  2 Li 2.79, 2 Sc 2.98
Li 0.7374 0.5000 0.6383  2 Li 2.79, 2 Sc 2.97
Sc 0.2107 0.0000 0.1447  2 Li 2.98, 2 Sc 3.06
Sc 0.4889 0.5000 0.2378  2 Li 2.97, 2 Sc 3.06
Sc 0.2107 0.5000 0.6447  2 Li 2.98, 2 Sc 3.06
Sc 0.4889 0.0000 0.7378  2 Li 2.97, 2 Sc 3.06

---

VASP calculation (GGA-PBE) on a geometry-optimized SrLiSc2 structure.

Computed properties:
E_form	0.76	eV/f.u.
E above lowest polymorph	0	meV/atom
total magnetic moment	0.8	μB per cell

a b c (Å): 3.6222 3.6222 8.8918
angles (deg): 90.00 90.00 90.00
Last column: nearest neighbours and their distance in Å.
Fractional positions:
Sc 0.0000 0.0000 0.9920  4 Li 3.10, 4 Sc 3.16
Sc 0.5000 0.5000 0.2011  4 Sc 3.16
Li 0.5000 0.5000 0.7966  4 Sc 3.10
Sr 0.0000 0.0000 0.5103  4 Li 3.61, 4 Sr 3.62, 4 Sc 3.76

---

VASP calculation (GGA-PBE) on a geometry-optimized Sr2Li2Sc structure.

Computed properties:
E_form	1.17	eV/f.u.
E above lowest polymorph	2	meV/atom
total magnetic moment	0.9	μB per cell

a b c (Å): 3.9115 3.9115 11.4392
angles (deg): 80.16 80.16 90.00
Last column: nearest neighbours and their distance in Å.
Fractional positions:
Li 0.7500 0.2500 0.5000  4 Li 2.77
Li 0.2500 0.7500 0.5000  4 Li 2.77
Sr 0.3870 0.3870 0.2261  4 Li 3.62, 4 Sc 3.73, 4 Sr 3.91
Sr 0.6130 0.6130 0.7739  4 Li 3.62, 4 Sc 3.73, 4 Sr 3.91
Sc 0.0000 0.0000 0.0000  8 Sr 3.73, 4 Sc 3.91

---

VASP calculation (GGA-PBE) on a geometry-optimized SrLi2Sc structure.

Computed properties:
E_form	1.02	eV/f.u.
E above lowest polymorph	61	meV/atom
total magnetic moment	0.0	μB per cell

a b c (Å): 6.5493 6.5493 6.5493
angles (deg): 148.50 129.39 60.84
Last column: nearest neighbours and their distance in Å.
Fractional positions:
Sr 0.2324 0.7324 0.5000  6 Li 3.35-3.48, 2 Sr 3.56, 2 Sc 3.64
Li 0.9678 0.9678 0.0000  2 Li 2.82
Li 0.7735 0.2735 0.5000  2 Li 2.82
Sc 0.5263 0.5263 0.0000  6 Li 3.31-3.38, 2 Sc 3.56, 2 Sr 3.64

---

VASP calculation (GGA-PBE) on a geometry-optimized SrLi3Sc structure.

Computed properties:
E_form	2.94	eV/f.u.
E above lowest polymorph	0	meV/atom
total magnetic moment	1.4	μB per cell

a b c (Å): 5.4648 5.4648 5.4648
angles (deg): 90.00 90.00 90.00
Last column: nearest neighbours and their distance in Å.
Fractional positions:
Sr 0.5000 0.5000 0.5000  12 Li 3.86
Sc 0.0000 0.0000 0.0000  6 Li 2.73
Li 0.5000 0.0000 0.0000  2 Sc 2.73
Li 0.0000 0.0000 0.5000  2 Sc 2.73
Li 0.0000 0.5000 0.0000  2 Sc 2.73

---

Number 1: calculated density 2.67 g/cm3. Number 2: calculated density 2.18 g/cm3. Number 3: calculated density 2.59 g/cm3. Number 4: calculated density 2.41 g/cm3. Number 5: calculated density 2.63 g/cm3. Number 6: calculated density 2.29 g/cm3. Number 7: calculated density 2.16 g/cm3. Number 8: calculated density 1.56 g/cm3.